No. 1
Compound: Pm3AgIr
Source: Alexandria via LeMat-Bulk
Functional: GGA-PBE
Structure: relaxed

Computed properties:
For the formation energy, the calculation gives -0.40 eV/atom. The polymorph energy (0 for the lowest one) is 0.009 eV per atom.

Geometry as CIF:
```
data_Pm3AgIr
_cell_length_a 21.028
_cell_length_b 3.912
_cell_length_c 6.782
_cell_angle_alpha 90.00
_cell_angle_beta 94.16
_cell_angle_gamma 90.00
_space_group_name_H-M_alt 'C 1 2/m 1'
_space_group_IT_number 12
loop_
_space_group_symop_operation_xyz
'x,y,z'
'-x,-y,-z'
'-x,y,-z'
'x,-y,z'
'x+1/2,y+1/2,z'
'-x+1/2,-y+1/2,-z'
'-x+1/2,y+1/2,-z'
'x+1/2,-y+1/2,z'
loop_
_atom_site_label
_atom_site_type_symbol
_atom_site_fract_x
_atom_site_fract_y
_atom_site_fract_z
Pm1 Pm 0.011 0.000 0.245
Pm2 Pm 0.127 0.500 0.598
Pm3 Pm 0.171 0.000 0.070
Ag1 Ag 0.240 0.000 0.649
Ir1 Ir 0.074 0.500 0.982
```

---

No. 2
Compound: PmAgIr
Source: Alexandria via LeMat-Bulk
Functional: GGA-PBE
Structure: relaxed

Computed properties:
For the formation energy, the calculation gives -0.15 eV/atom. The polymorph energy (0 for the lowest one) is 0.040 eV per atom.

Geometry as CIF:
```
data_PmAgIr
_cell_length_a 3.653
_cell_length_b 3.653
_cell_length_c 9.441
_cell_angle_alpha 90.00
_cell_angle_beta 90.00
_cell_angle_gamma 90.00
_space_group_name_H-M_alt 'I 4 m m'
_space_group_IT_number 107
_space_group_name_Hall 'I 4 -2'
loop_
_atom_site_label
_atom_site_type_symbol
_atom_site_fract_x
_atom_site_fract_y
_atom_site_fract_z
Pm1 Pm 0.000 0.000 0.000
Ag1 Ag 0.000 0.000 0.312
Ir1 Ir 0.000 0.000 0.657
```

---

No. 3
Compound: Pm5AgIr2
Source: Alexandria via LeMat-Bulk
Functional: GGA-PBE
Structure: relaxed

Computed properties:
For the formation energy, the calculation gives -0.52 eV/atom.

Geometry as CIF:
```
data_Pm5AgIr2
_cell_length_a 7.953
_cell_length_b 7.953
_cell_length_c 13.689
_cell_angle_alpha 90.00
_cell_angle_beta 90.00
_cell_angle_gamma 90.00
_space_group_name_H-M_alt 'I 4/m c m'
_space_group_IT_number 140
_space_group_name_Hall '-I 4 2c'
loop_
_atom_site_label
_atom_site_type_symbol
_atom_site_fract_x
_atom_site_fract_y
_atom_site_fract_z
Pm1 Pm 0.000 0.000 0.000
Pm2 Pm 0.161 0.339 0.134
Ag1 Ag 0.000 0.000 0.250
Ir1 Ir 0.138 0.362 0.500
```

---

No. 4
Compound: Pm8Ag2Ir
Source: Alexandria via LeMat-Bulk
Functional: GGA-PBE
Structure: relaxed

Computed properties:
For the formation energy, the calculation gives -0.22 eV/atom.

Geometry as CIF:
```
data_Pm8Ag2Ir
_cell_length_a 18.015
_cell_length_b 5.290
_cell_length_c 7.000
_cell_angle_alpha 90.00
_cell_angle_beta 105.46
_cell_angle_gamma 90.00
_space_group_name_H-M_alt 'C 1 2/m 1'
_space_group_IT_number 12
loop_
_space_group_symop_operation_xyz
'x,y,z'
'-x,-y,-z'
'-x,y,-z'
'x,-y,z'
'x+1/2,y+1/2,z'
'-x+1/2,-y+1/2,-z'
'-x+1/2,y+1/2,-z'
'x+1/2,-y+1/2,z'
loop_
_atom_site_label
_atom_site_type_symbol
_atom_site_fract_x
_atom_site_fract_y
_atom_site_fract_z
Pm1 Pm 0.026 0.000 0.290
Pm2 Pm 0.088 0.500 0.935
Pm3 Pm 0.159 0.500 0.474
Pm4 Pm 0.202 0.000 0.818
Ag1 Ag 0.185 0.000 0.229
Ir1 Ir 0.000 0.500 0.500
```

---

No. 5
Compound: Pm3Ag2Ir
Source: Alexandria via LeMat-Bulk
Functional: GGA-PBE
Structure: relaxed

Computed properties:
For the formation energy, the calculation gives -0.31 eV/atom. The polymorph energy (0 for the lowest one) is 0.107 eV per atom.

Geometry as CIF:
```
data_Pm3Ag2Ir
_cell_length_a 14.189
_cell_length_b 5.958
_cell_length_c 8.259
_cell_angle_alpha 90.00
_cell_angle_beta 106.89
_cell_angle_gamma 90.00
_space_group_name_H-M_alt 'C 1 2/c 1'
_space_group_IT_number 15
loop_
_space_group_symop_operation_xyz
'x,y,z'
'-x,-y,-z'
'-x,y,-z+1/2'
'x,-y,z+1/2'
'x+1/2,y+1/2,z'
'-x+1/2,-y+1/2,-z'
'-x+1/2,y+1/2,-z+1/2'
'x+1/2,-y+1/2,z+1/2'
loop_
_atom_site_label
_atom_site_type_symbol
_atom_site_fract_x
_atom_site_fract_y
_atom_site_fract_z
Pm1 Pm 0.000 0.000 0.250
Pm2 Pm 0.141 0.499 0.070
Ag1 Ag 0.181 0.001 0.590
Ir1 Ir 0.000 0.500 0.250
```

---

No. 6
Compound: Pm4Ag2Ir
Source: Alexandria via LeMat-Bulk
Functional: GGA-PBE
Structure: relaxed

Computed properties:
For the formation energy, the calculation gives -0.15 eV/atom. The polymorph energy (0 for the lowest one) is 0.123 eV per atom.

Geometry as CIF:
```
data_Pm4Ag2Ir
_cell_length_a 5.511
_cell_length_b 5.511
_cell_length_c 14.718
_cell_angle_alpha 90.00
_cell_angle_beta 90.00
_cell_angle_gamma 90.00
_space_group_name_H-M_alt 'I 4/m m m'
_space_group_IT_number 139
_space_group_name_Hall '-I 4 2'
loop_
_atom_site_label
_atom_site_type_symbol
_atom_site_fract_x
_atom_site_fract_y
_atom_site_fract_z
Pm1 Pm 0.000 0.000 0.190
Pm2 Pm 0.000 0.500 0.000
Ag1 Ag 0.000 0.000 0.393
Ir1 Ir 0.000 0.000 0.000
```

---

No. 7
Compound: Pm6AgIr5
Source: Alexandria via LeMat-Bulk
Functional: GGA-PBE
Structure: relaxed

Computed properties:
For the formation energy, the calculation gives -0.58 eV/atom.

Geometry as CIF:
```
data_Pm6AgIr5
_cell_length_a 5.011
_cell_length_b 7.132
_cell_length_c 15.037
_cell_angle_alpha 90.00
_cell_angle_beta 90.00
_cell_angle_gamma 90.00
_space_group_name_H-M_alt 'I m m m'
_space_group_IT_number 71
_space_group_name_Hall '-I 2 2'
loop_
_atom_site_label
_atom_site_type_symbol
_atom_site_fract_x
_atom_site_fract_y
_atom_site_fract_z
Pm1 Pm 0.000 0.240 0.000
Pm2 Pm 0.000 0.255 0.329
Ag1 Ag 0.000 0.000 0.500
Ir1 Ir 0.000 0.000 0.167
Ir2 Ir 0.000 0.500 0.163
Ir3 Ir 0.000 0.500 0.500
```

---

No. 8
Compound: PmAgIr
Source: Alexandria via LeMat-Bulk
Functional: GGA-PBE
Structure: relaxed

Computed properties:
For the formation energy, the calculation gives -0.05 eV/atom. The polymorph energy (0 for the lowest one) is 0.148 eV per atom.

Geometry as CIF:
```
data_PmAgIr
_cell_length_a 3.558
_cell_length_b 3.558
_cell_length_c 22.777
_cell_angle_alpha 90.00
_cell_angle_beta 90.00
_cell_angle_gamma 90.00
_space_group_name_H-M_alt 'I 4/m m m'
_space_group_IT_number 139
_space_group_name_Hall '-I 4 2'
loop_
_atom_site_label
_atom_site_type_symbol
_atom_site_fract_x
_atom_site_fract_y
_atom_site_fract_z
Pm1 Pm 0.000 0.000 0.145
Ag1 Ag 0.000 0.000 0.440
Ir1 Ir 0.000 0.000 0.268
```

---

No. 9
Compound: Pm5Ag2Ir
Source: Alexandria via LeMat-Bulk
Functional: GGA-PBE
Structure: relaxed

Computed properties:
For the formation energy, the calculation gives -0.29 eV/atom.

Geometry as CIF:
```
data_Pm5Ag2Ir
_cell_length_a 7.367
_cell_length_b 7.367
_cell_length_c 16.241
_cell_angle_alpha 90.00
_cell_angle_beta 90.00
_cell_angle_gamma 90.00
_space_group_name_H-M_alt 'I 4/m c m'
_space_group_IT_number 140
_space_group_name_Hall '-I 4 2c'
loop_
_atom_site_label
_atom_site_type_symbol
_atom_site_fract_x
_atom_site_fract_y
_atom_site_fract_z
Pm1 Pm 0.000 0.000 0.000
Pm2 Pm 0.176 0.324 0.157
Ag1 Ag 0.128 0.372 0.500
Ir1 Ir 0.000 0.000 0.250
```

---

No. 10
Compound: Pm4AgIr3
Source: Alexandria via LeMat-Bulk
Functional: GGA-PBE
Structure: relaxed

Computed properties:
For the formation energy, the calculation gives -0.57 eV/atom.

Geometry as CIF:
```
data_Pm4AgIr3
_cell_length_a 5.0356
_cell_length_b 5.0356
_cell_length_c 24.7472
_cell_angle_alpha 90.00
_cell_angle_beta 90.00
_cell_angle_gamma 120.00
_space_group_name_H-M_alt 'R -3 m'
_space_group_IT_number 166
_space_group_name_Hall '-R 3 2"'
loop_
_atom_site_label
_atom_site_type_symbol
_atom_site_fract_x
_atom_site_fract_y
_atom_site_fract_z
Pm1 Pm 0.0000 0.0000 0.1212
Pm2 Pm 0.0000 0.0000 0.3719
Ag1 Ag 0.0000 0.0000 0.5000
Ir1 Ir 0.0000 0.0000 0.0000
Ir2 Ir 0.0000 0.0000 0.2483
```

---

No. 11
Compound: Pm4Ag5Ir2
Source: Alexandria via LeMat-Bulk
Functional: GGA-PBE
Structure: relaxed

Computed properties:
For the formation energy, the calculation gives -0.39 eV/atom.

Geometry as CIF:
```
data_Pm4Ag5Ir2
_cell_length_a 7.515
_cell_length_b 3.843
_cell_length_c 9.103
_cell_angle_alpha 90.00
_cell_angle_beta 94.58
_cell_angle_gamma 90.00
_space_group_name_H-M_alt 'P 1 2/m 1'
_space_group_IT_number 10
loop_
_space_group_symop_operation_xyz
'x,y,z'
'-x,-y,-z'
'-x,y,-z'
'x,-y,z'
loop_
_atom_site_label
_atom_site_type_symbol
_atom_site_fract_x
_atom_site_fract_y
_atom_site_fract_z
Pm1 Pm 0.192 0.000 0.357
Pm2 Pm 0.227 0.000 0.934
Ag1 Ag 0.180 0.500 0.643
Ag2 Ag 0.458 0.500 0.175
Ag3 Ag 0.500 0.500 0.500
Ir1 Ir 0.071 0.500 0.145
```

---

no.,final energy (eV per atom)
1,-5.59
2,-5.64
3,-6.06
4,-5.00
5,-5.12
6,-4.95
7,-6.88
8,-5.53
9,-5.08
10,-6.62
11,-5.02